Below is crystalline La2Ni9Ir at its relaxed geometry, with properties calculated at the PBE level.

Properties
* DFT formation energy: -0.030 eV/atom
* calculated volume: 14.370 A^3/atom
* density of states at the Fermi level: 15.0 states/eV/cell
* uncorrected energy: -5.93 eV per atom
* SG: R-3m, No. 166

a = 4.9236 Å, b = 4.9236 Å, c = 8.6914 Å
α = 73.55°, β = 73.55°, γ = 60.00°
Last column: magnetic moment on the atom in μB.
Sites, in units of the cell vectors:
Ni: 0.4221 0.9205 0.2352  0.37
Ni: 0.6673 0.6673 0.9981  0.68
Ni: 0.3327 0.3327 0.0019  0.68
La: 0.8687 0.8687 0.3939  -0.07
Ni: 0.9205 0.4221 0.2352  0.37
La: 0.1313 0.1313 0.6061  -0.07
Ni: 0.4221 0.4221 0.2352  0.37
Ir: 0.0000 0.0000 0.0000  0.82
Ni: 0.5000 0.5000 0.5000  0.16
Ni: 0.0795 0.5779 0.7648  0.37
Ni: 0.5779 0.5779 0.7648  0.37
Ni: 0.5779 0.0795 0.7648  0.37